No. 1
A crystal of WO2F relaxed with PBEsol. Source: the Alexandria database, functional meta-GGA SCAN.

Values from the calculation:
Its uncorrected formation energy is -2.22 eV per atom. As for the crystal system: tetragonal. The calculation puts the energy above the most stable polymorph in this dataset at 120 meV per atom. The mass density comes out at 6.8 Mg/m³.

```
8
Lattice="-0.096 4.469 2.963 -3.776 -3.922 0.940 5.081 -0.870 1.478" Properties=species:S:1:pos:R:3 pbc="T T T"
O 1.902 -1.493 2.319
O -0.693 1.171 3.061
F 3.738 2.697 3.329
W -1.888 -1.961 0.470
F 1.246 0.902 1.112
O -0.639 -1.062 1.577
W 0.604 -0.161 2.690
O 1.847 0.740 3.803
```



No. 2
A crystal of Al2SbRh relaxed with PBEsol. Source: the Alexandria database, functional meta-GGA SCAN.

Values from the calculation:
Its uncorrected formation energy is -0.08 eV per atom. As for the crystal system: cubic. The mass density comes out at 6.8 Mg/m³.

```
4
Lattice="-2.455 -0.976 -3.753 2.032 -1.934 -3.633 -0.904 -4.369 -1.079" Properties=species:S:1:pos:R:3 pbc="T T T"
Rh -0.663 -3.640 -4.232
Al 0.000 0.000 0.000
Al -0.995 -5.460 -6.349
Sb -0.332 -1.820 -2.116
```



No. 3
A crystal of ZnCuNi2 relaxed with PBEsol. Source: the Alexandria database, functional meta-GGA SCAN.

Values from the calculation:
Its formation energy is -0.32 eV/f.u. As for the crystal system: tetragonal. The mass density comes out at 9.2 Mg/m³.

```
4
Lattice="3.642 0.000 0.000 0.000 3.642 0.000 -1.821 -1.821 3.347" Properties=species:S:1:pos:R:3 pbc="T T T"
Ni 1.821 0.000 1.673
Cu 0.000 0.000 0.000
Ni 0.000 1.821 1.673
Zn 1.821 1.821 0.000
```



No. 4
A crystal of Li2BrN relaxed with PBEsol. Source: the Alexandria database, functional meta-GGA SCAN.

Values from the calculation:
Its uncorrected formation energy is -0.03 eV per atom. As for the crystal system: cubic. The mass density comes out at 3.2 Mg/m³.

```
4
Lattice="4.307 0.000 0.000 2.153 3.730 0.000 2.153 1.243 3.517" Properties=species:S:1:pos:R:3 pbc="T T T"
N 0.000 0.000 0.000
Br 4.307 2.487 1.758
Li 6.460 3.730 2.637
Li 2.153 1.243 0.879
```



No. 5
A crystal of In2TePb2 relaxed with PBEsol. Source: the Alexandria database, functional meta-GGA SCAN.

Values from the calculation:
Its uncorrected formation energy is 0.08 eV per atom. As for the crystal system: tetragonal. The mass density comes out at 8.5 Mg/m³.

```
5
Lattice="4.316 0.000 0.000 0.000 4.316 0.000 -2.158 -2.158 8.049" Properties=species:S:1:pos:R:3 pbc="T T T"
Pb 2.158 0.000 4.025
In 0.000 0.000 6.572
Pb 0.000 2.158 4.025
Te 0.000 0.000 0.000
In 2.158 2.158 1.477
```



No. 6
A crystal of HoErRh2 relaxed with PBEsol. Source: the Alexandria database, functional meta-GGA SCAN.

Values from the calculation:
Its formation energy is -4.23 eV/f.u. As for the crystal system: cubic. The mass density comes out at 11.9 Mg/m³.

```
4
Lattice="-0.743 2.665 -3.839 2.749 -0.529 -3.815 -1.761 -1.956 -3.933" Properties=species:S:1:pos:R:3 pbc="T T T"
Rh 0.184 0.135 -8.690
Er 0.123 0.090 -5.794
Ho 0.000 0.000 0.000
Rh 0.061 0.045 -2.897
```



No. 7
A crystal of CdIn2Br relaxed with PBEsol. Source: the Alexandria database, functional meta-GGA SCAN.

Values from the calculation:
Its uncorrected formation energy is -0.15 eV per atom. As for the crystal system: orthorhombic. The calculation puts the energy above the most stable polymorph in this dataset at 0 meV per atom. The mass density comes out at 6.8 Mg/m³.

```
4
Lattice="-0.614 -1.835 -3.016 -4.387 -2.087 2.163 -0.398 6.072 -1.484" Properties=species:S:1:pos:R:3 pbc="T T T"
Br -2.560 -1.877 -0.466
In -1.731 1.102 -2.447
Cd -3.668 1.048 0.109
In -5.339 2.065 -2.298
```



No. 8
A crystal of LaBiAs3 relaxed with PBEsol. Source: the Alexandria database, functional meta-GGA SCAN.

Values from the calculation:
Its formation energy is 0.96 eV/f.u. As for the crystal system: cubic. The mass density comes out at 6.4 Mg/m³.

```
5
Lattice="5.287 0.000 0.000 0.000 5.287 0.000 0.000 0.000 5.287" Properties=species:S:1:pos:R:3 pbc="T T T"
Bi 0.000 0.000 0.000
As 2.643 0.000 0.000
La 2.643 2.643 2.643
As 0.000 2.643 0.000
As 0.000 0.000 2.643
```



No. 9
A crystal of Li2CaSi relaxed with PBEsol. Source: the Alexandria database, functional meta-GGA SCAN.

Values from the calculation:
Its uncorrected formation energy is -0.29 eV per atom. As for the crystal system: trigonal. The mass density comes out at 1.7 Mg/m³.

```
4
Lattice="4.512 0.000 0.000 2.256 3.907 0.000 2.256 1.302 4.681" Properties=species:S:1:pos:R:3 pbc="T T T"
Li 2.256 1.302 1.364
Li 6.768 3.907 0.648
Si 4.512 2.605 1.734
Ca 6.768 3.907 3.403
```



No. 10
A crystal of HfTa3Pb relaxed with PBEsol. Source: the Alexandria database, functional meta-GGA SCAN.

Values from the calculation:
Its formation energy is 10.55 eV/f.u. As for the crystal system: cubic. The mass density comes out at 12.2 Mg/m³.

```
5
Lattice="5.013 0.000 0.000 0.000 5.013 0.000 0.000 0.000 5.013" Properties=species:S:1:pos:R:3 pbc="T T T"
Pb 0.000 0.000 0.000
Ta 0.000 0.000 2.506
Hf 2.506 2.506 2.506
Ta 2.506 0.000 0.000
Ta 0.000 2.506 0.000
```



No. 11
A crystal of MnBe2Re relaxed with PBEsol. Source: the Alexandria database, functional meta-GGA SCAN.

Values from the calculation:
Its formation energy is 0.48 eV/f.u. As for the crystal system: trigonal. The calculation puts the energy above the most stable polymorph in this dataset at 308 meV per atom. The mass density comes out at 9.6 Mg/m³.

```
4
Lattice="2.589 0.000 0.000 1.295 2.242 0.000 1.295 0.747 7.740" Properties=species:S:1:pos:R:3 pbc="T T T"
Mn 2.589 1.495 3.870
Be 1.295 0.747 2.024
Be 3.884 2.242 5.716
Re 0.000 0.000 0.000
```



No. 12
A crystal of ZnInPb2 relaxed with PBEsol. Source: the Alexandria database, functional meta-GGA SCAN.

Values from the calculation:
Its formation energy is 0.60 eV/f.u. As for the crystal system: orthorhombic. The mass density comes out at 9.8 Mg/m³.

```
4
Lattice="3.535 0.000 0.000 0.000 5.384 0.000 -1.767 -2.692 5.274" Properties=species:S:1:pos:R:3 pbc="T T T"
Pb 1.767 0.000 2.967
Pb 1.767 2.692 5.206
In 0.000 2.692 2.293
Zn 1.767 2.692 0.083
```



No. 13
A crystal of Mn2BeAl2 relaxed with PBEsol. Source: the Alexandria database, functional meta-GGA SCAN.

Values from the calculation:
Its formation energy is -0.54 eV/f.u. As for the crystal system: tetragonal. The mass density comes out at 4.8 Mg/m³.

```
10
Lattice="-3.769 -0.404 0.775 -0.672 -2.831 -4.742 1.062 -4.754 2.687" Properties=species:S:1:pos:R:3 pbc="T T T"
Mn 0.673 -5.143 0.594
Mn 0.093 -5.468 -2.393
Al -2.092 -4.120 -2.662
Be 0.195 -3.793 -1.028
Mn 0.296 -2.117 0.338
Al -1.453 -6.045 -0.559
Al -1.287 -3.869 1.382
Mn -0.283 -2.442 -2.649
Be 0.000 0.000 0.000
Al -1.926 -1.944 -0.720
```



No. 14
A crystal of Na3HgW relaxed with PBEsol. Source: the Alexandria database, functional meta-GGA SCAN.

Values from the calculation:
Its formation energy is 7.24 eV/f.u. As for the crystal system: cubic. The mass density comes out at 3.6 Mg/m³.

```
5
Lattice="-1.967 3.238 -4.548 -0.502 -4.905 -3.275 -5.560 -0.703 1.905" Properties=species:S:1:pos:R:3 pbc="T T T"
Na -0.251 -2.452 -1.638
Hg -4.015 -1.185 -2.959
Na -2.780 -0.352 0.952
W 0.000 0.000 0.000
Na -0.984 1.619 -2.274
```



No. 15
A crystal of Tb2Al4NiGe2 relaxed with PBEsol. Source: the Alexandria database, functional meta-GGA SCAN.

Values from the calculation:
Its formation energy is -6.29 eV/f.u. As for the crystal system: tetragonal. The mass density comes out at 6.5 Mg/m³.

```
9
Lattice="-0.038 3.276 2.475 0.939 -2.402 3.195 8.908 0.958 -4.538" Properties=species:S:1:pos:R:3 pbc="T T T"
Ge 3.495 0.891 2.281
Tb 6.325 1.312 1.766
Al 1.246 1.827 1.007
Ni 0.000 0.000 0.000
Ge 6.314 0.941 -1.149
Al 8.075 2.844 -0.236
Al 8.563 0.005 0.124
Al 1.735 -1.013 1.367
Tb 3.485 0.519 -0.634
```



No. 16
A crystal of YTe2Se relaxed with PBEsol. Source: the Alexandria database, functional meta-GGA SCAN.

Values from the calculation:
Its uncorrected formation energy is -0.68 eV per atom. As for the crystal system: tetragonal. The mass density comes out at 6.9 Mg/m³.

```
4
Lattice="4.353 0.000 0.000 0.000 4.353 0.000 -2.176 -2.176 5.350" Properties=species:S:1:pos:R:3 pbc="T T T"
Te 0.000 0.000 0.000
Se 0.000 2.176 2.675
Te 2.176 0.000 2.675
Y 2.176 2.176 0.000
```



No. 17
A crystal of MoIrRu2 relaxed with PBEsol. Source: the Alexandria database, functional meta-GGA SCAN.

Values from the calculation:
Its formation energy is -0.43 eV/f.u. As for the crystal system: tetragonal. The calculation puts the energy above the most stable polymorph in this dataset at 95 meV per atom. The mass density comes out at 14.6 Mg/m³.

```
4
Lattice="-0.642 3.576 1.208 -3.703 -0.361 -0.901 1.450 -2.919 3.345" Properties=species:S:1:pos:R:3 pbc="T T T"
Mo 0.000 0.000 0.000
Ru -0.683 1.132 2.353
Ru -2.213 -0.836 1.299
Ir -2.173 1.607 0.154
```



No. 18
A crystal of Cd2NiAg relaxed with PBEsol. Source: the Alexandria database, functional meta-GGA SCAN.

Values from the calculation:
Its formation energy is 0.10 eV/f.u. As for the crystal system: tetragonal. The mass density comes out at 10.0 Mg/m³.

```
4
Lattice="-1.645 -2.378 -0.639 2.238 -1.123 -1.580 2.575 -3.412 6.074" Properties=species:S:1:pos:R:3 pbc="T T T"
Ag 1.584 -3.457 1.928
Cd 0.577 -0.764 1.361
Cd 1.998 -2.648 4.714
Ni 0.297 -1.751 -1.109
```



No. 19
A crystal of AgSn2Au2 relaxed with PBEsol. Source: the Alexandria database, functional meta-GGA SCAN.

Values from the calculation:
Its formation energy is 0.99 eV/f.u. As for the crystal system: tetragonal. The calculation puts the energy above the most stable polymorph in this dataset at 200 meV per atom. The mass density comes out at 10.8 Mg/m³.

```
5
Lattice="-4.185 -0.924 -0.336 0.726 -3.892 1.675 0.780 4.659 4.973" Properties=species:S:1:pos:R:3 pbc="T T T"
Sn -0.112 -0.821 3.658
Au -0.750 1.778 4.458
Sn -2.567 0.663 2.653
Ag 0.000 0.000 0.000
Au -1.929 -1.936 1.853
```



No. 20
A crystal of CsTi2O relaxed with PBEsol. Source: the Alexandria database, functional meta-GGA SCAN.

Values from the calculation:
Its uncorrected formation energy is -0.51 eV per atom. As for the crystal system: cubic. The mass density comes out at 4.4 Mg/m³.

```
8
Lattice="6.415 0.000 0.000 3.207 5.555 0.000 3.207 1.852 5.238" Properties=species:S:1:pos:R:3 pbc="T T T"
Ti 3.207 1.852 3.273
O 0.000 0.000 0.000
Ti 4.811 0.926 0.655
O 3.207 1.852 1.309
Ti 3.207 3.704 0.655
Cs 9.622 5.555 3.928
Ti 1.604 0.926 0.655
Cs 6.415 3.704 2.619
```



No. 21
A crystal of BaFeP2 relaxed with PBEsol. Source: the Alexandria database, functional meta-GGA SCAN.

Values from the calculation:
Its formation energy is 0.45 eV/f.u. As for the crystal system: tetragonal. The calculation puts the energy above the most stable polymorph in this dataset at 611 meV per atom. The mass density comes out at 5.9 Mg/m³.

```
4
Lattice="-2.035 2.042 -1.376 -1.380 -2.424 -1.557 -4.527 -0.882 5.384" Properties=species:S:1:pos:R:3 pbc="T T T"
Ba -2.234 -0.435 2.657
Fe -5.648 -0.959 3.220
P -2.508 -0.347 -0.514
P -4.342 -0.846 5.164
```



No. 22
A crystal of Ba2ZrSc relaxed with PBEsol. Source: the Alexandria database, functional meta-GGA SCAN.

Values from the calculation:
Its formation energy is 3.09 eV/f.u. As for the crystal system: cubic. The calculation puts the energy above the most stable polymorph in this dataset at 56 meV per atom. The mass density comes out at 5.2 Mg/m³.

```
4
Lattice="-2.525 3.813 3.433 1.296 0.133 5.568 3.015 4.367 2.131" Properties=species:S:1:pos:R:3 pbc="T T T"
Sc 0.000 0.000 0.000
Zr 0.893 4.157 5.566
Ba 0.446 2.078 2.783
Ba 1.339 6.235 8.349
```



No. 23
A crystal of LiCoBAs2 relaxed with PBEsol. Source: the Alexandria database, functional meta-GGA SCAN.

Values from the calculation:
Its formation energy is 4.62 eV/f.u. As for the crystal system: tetragonal. The mass density comes out at 4.6 Mg/m³.

```
5
Lattice="4.345 0.000 0.000 0.000 4.345 0.000 0.000 0.000 4.376" Properties=species:S:1:pos:R:3 pbc="T T T"
Li 0.000 0.000 2.188
B 2.173 2.173 2.188
As 2.173 0.000 0.000
Co 0.000 0.000 0.000
As 0.000 2.173 0.000
```



No. 24
A crystal of Ru5Pt relaxed with PBEsol. Source: the Alexandria database, functional meta-GGA SCAN.

Values from the calculation:
Its formation energy is 0.38 eV/f.u. As for the crystal system: tetragonal. The calculation puts the energy above the most stable polymorph in this dataset at 76 meV per atom. The mass density comes out at 14.3 Mg/m³.

```
6
Lattice="2.668 0.000 0.000 0.000 2.668 0.000 0.000 0.000 11.449" Properties=species:S:1:pos:R:3 pbc="T T T"
Ru 0.000 0.000 9.447
Ru 1.334 1.334 7.626
Pt 1.334 1.334 0.000
Ru 0.000 0.000 5.725
Ru 0.000 0.000 2.002
Ru 1.334 1.334 3.823
```



No. 25
A crystal of LiCdPt relaxed with PBEsol. Source: the Alexandria database, functional meta-GGA SCAN.

Values from the calculation:
Its formation energy is -0.41 eV/f.u. As for the crystal system: cubic. The calculation puts the energy above the most stable polymorph in this dataset at 372 meV per atom. The mass density comes out at 9.0 Mg/m³.

```
3
Lattice="-2.412 -0.442 -3.591 1.895 -1.014 -3.780 -0.599 -3.937 -1.745" Properties=species:S:1:pos:R:3 pbc="T T T"
Li 0.000 0.000 0.000
Pt -0.558 -2.697 -4.558
Cd -0.279 -1.348 -2.279
```



No. 26
A crystal of AlFeRu2 relaxed with PBEsol. Source: the Alexandria database, functional meta-GGA SCAN.

Values from the calculation:
Its formation energy is -0.66 eV/f.u. As for the crystal system: orthorhombic. The mass density comes out at 9.1 Mg/m³.

```
4
Lattice="-0.239 -0.302 2.822 4.377 -0.197 0.350 -1.919 4.368 -1.132" Properties=species:S:1:pos:R:3 pbc="T T T"
Ru 2.143 1.797 1.812
Al -0.120 -0.151 1.411
Ru 0.075 2.072 0.228
Fe 2.189 -0.099 0.175
```



No. 27
A crystal of NaScRe2Si relaxed with PBEsol. Source: the Alexandria database, functional meta-GGA SCAN.

Values from the calculation:
Its uncorrected formation energy is 2.05 eV per atom. As for the crystal system: tetragonal. The mass density comes out at 7.2 Mg/m³.

```
5
Lattice="4.662 0.000 0.000 0.000 4.662 0.000 0.000 0.000 4.952" Properties=species:S:1:pos:R:3 pbc="T T T"
Re 2.331 0.000 0.000
Si 0.000 0.000 2.476
Sc 0.000 0.000 0.000
Na 2.331 2.331 2.476
Re 0.000 2.331 0.000
```



No. 28
A crystal of SiSN3 relaxed with PBEsol. Source: the Alexandria database, functional meta-GGA SCAN.

Values from the calculation:
Its uncorrected formation energy is 1.76 eV per atom. As for the crystal system: cubic. The mass density comes out at 4.0 Mg/m³.

```
5
Lattice="-2.756 -1.018 -1.871 2.100 -1.807 -2.110 -0.354 -2.798 2.044" Properties=species:S:1:pos:R:3 pbc="T T T"
S 0.000 0.000 0.000
N -1.378 -0.509 -0.935
N -0.177 -1.399 1.022
N 1.050 -0.904 -1.055
Si -0.505 -2.811 -0.969
```



No. 29
A crystal of Al4Ag relaxed with PBEsol. Source: the Alexandria database, functional meta-GGA SCAN.

Values from the calculation:
Its formation energy is -0.15 eV/f.u. As for the crystal system: trigonal. The calculation puts the energy above the most stable polymorph in this dataset at 0 meV per atom. The mass density comes out at 4.4 Mg/m³.

```
5
Lattice="2.883 0.000 0.000 1.442 2.497 0.000 1.442 0.832 11.265" Properties=species:S:1:pos:R:3 pbc="T T T"
Al 2.883 1.665 2.235
Al 2.883 1.665 9.030
Al 4.325 2.497 6.764
Al 1.442 0.832 4.501
Ag 0.000 0.000 0.000
```